(1)
{
  "formula": "TlH2Br",
  "functional": "PBE-GGA",
  "state": "optimized geometry",
  "cell": [[6.823, 0.000, 0.000], [0.000, 6.823, 0.000], [0.000, 0.000, 6.823]],
  "species": ["Tl", "Tl", "Tl", "Tl", "H", "H", "H", "H", "H", "H", "H", "H", "Br", "Br", "Br", "Br"],
  "frac_coords": [[0.000, 0.000, 0.000], [0.000, 0.500, 0.500], [0.500, 0.000, 0.500], [0.500, 0.500, 0.000], [0.250, 0.250, 0.250], [0.250, 0.250, 0.750], [0.250, 0.750, 0.250], [0.250, 0.750, 0.750], [0.750, 0.250, 0.250], [0.750, 0.250, 0.750], [0.750, 0.750, 0.250], [0.750, 0.750, 0.750], [0.000, 0.000, 0.500], [0.000, 0.500, 0.000], [0.500, 0.000, 0.000], [0.500, 0.500, 0.500]],
  "final_energy_ev_per_atom": -2.008,
  "spacegroup": "Fm-3m, No. 225",
  "relative_energy_ev_per_atom": 1.065,
  "m_tot_mub_per_cell": 7.94,
  "crystal_system": "cubic"
}

=====

(2)
{
  "formula": "ZrTlCu",
  "functional": "PBE-GGA",
  "state": "optimized geometry",
  "cell": [[4.402, 0.000, 0.000], [0.000, 11.824, 0.000], [0.000, 0.000, 4.443]],
  "species": ["Zr", "Zr", "Zr", "Zr", "Tl", "Tl", "Tl", "Tl", "Cu", "Cu", "Cu", "Cu"],
  "frac_coords": [[0.000, 0.100, 0.250], [0.000, 0.900, 0.750], [0.500, 0.400, 0.750], [0.500, 0.600, 0.250], [0.000, 0.398, 0.250], [0.000, 0.602, 0.750], [0.500, 0.102, 0.750], [0.500, 0.898, 0.250], [0.000, 0.251, 0.750], [0.000, 0.749, 0.250], [0.500, 0.249, 0.250], [0.500, 0.751, 0.750]],
  "final_energy_ev_per_atom": -5.022,
  "spacegroup": "Cmcm, No. 63",
  "m_tot_mub_per_cell": 0.00,
  "crystal_system": "orthorhombic",
  "formation_enthalpy_0k_ev_per_atom": -0.0182
}